DFT (PBE-GGA) results for a geometry-optimized TaV2Pb structure.

Geometry as POSCAR:
```
TaV2Pb
1.0
7.354 0.000 0.000
0.000 7.354 0.000
3.677 3.677 2.810
Pb Ta V
2 2 4
direct
0.000 0.000 0.000
0.750 0.250 0.500
0.500 0.500 0.000
0.250 0.750 0.500
0.597 0.125 0.250
0.153 0.625 0.250
0.375 0.403 0.750
0.875 0.847 0.750
```

symmetry: No. 122
crystal system: tetragonal
total moment: 0.00 μB/atom
energy relative to the elements: 89.9 kJ per mole of atoms